## CaCeNi2P2 (GGA-PBE)

Data for crystalline CaCeNi2P2 at its relaxed geometry.

The calculated density comes out at 5.60 g/cm3. The value obtained for the formation energy is -1.0748 eV/atom. The space group is No. 164. The total energy comes out at -6.128 eV/atom. As for the crystal system: trigonal. For the spin magnetization, the calculation gives 0.3 Bohr magnetons per cell. The calculation puts the density of states at the Fermi level at 4.11 states/eV per cell.

Geometry as POSCAR:
```
CaCeNi2P2
1.0
-2.3329 -2.7935 -1.5166
2.5992 1.8638 -2.3058
5.4542 -5.4856 1.7142
Ni Ce P Ca
2 1 2 1
Direct
0.3333 0.6667 0.7624 Ni
0.6667 0.3333 0.2376 Ni
0.0000 0.0000 0.0000 Ce
0.3333 0.6667 0.2449 P
0.6667 0.3333 0.7551 P
0.0000 0.0000 0.5000 Ca
```